# 1
The following is a PBE calculation of a relaxed AcPr7Zn2 crystal, from Alexandria via LeMat-Bulk.

```
10
Lattice="-4.594 2.158 1.166 0.118 -2.279 4.681 8.210 10.191 1.856" Properties=species:S:1:pos:R:3 pbc="T T T"
Pr 0.689 6.144 2.973
Pr 2.379 9.012 4.326
Pr 4.736 6.794 6.084
Pr 1.355 1.058 3.378
Pr -1.001 3.277 1.620
Pr 3.045 3.926 4.731
Pr -2.238 -0.060 2.924
Zn -0.099 3.568 4.636
Zn 3.833 6.502 3.068
Ac 0.000 0.000 0.000
```

* SG: I4/mmm (139)
* DOS(E_F): 19.670 states/eV/cell
* formation energy: 36 meV/atom

=====

# 2
The following is a PBE calculation of a relaxed LiZnIr2 crystal, from Alexandria via LeMat-Bulk.

```
4
Lattice="-1.795 4.408 0.149 0.415 -1.981 4.310 2.473 0.999 0.221" Properties=species:S:1:pos:R:3 pbc="T T T"
Ir -0.690 1.213 2.229
Ir 0.000 0.000 0.000
Li 0.339 2.704 0.185
Zn 1.444 -0.491 2.266
```

* SG: Cmmm (65)
* DOS(E_F): 4.586 states/eV/cell
* formation energy: -19 meV/atom

=====

# 3
The following is a PBE calculation of a relaxed KSrBi crystal, from Alexandria via LeMat-Bulk.

```
6
Lattice="-5.768 -1.578 0.117 3.824 -2.905 -3.564 1.420 -4.788 5.427" Properties=species:S:1:pos:R:3 pbc="T T T"
Bi 0.407 -7.064 1.178
Bi -0.931 -2.207 0.802
Sr -0.304 -4.670 -1.535
Sr -0.219 -4.601 3.515
K 1.912 -1.453 -1.782
K 2.622 -3.847 0.931
```

* SG: P6_3/mmc (194)
* DOS(E_F): 0.137 states/eV/cell
* formation energy: -684 meV/atom

=====

# 4
The following is a PBE calculation of a relaxed KCaHg14 crystal, from Alexandria via LeMat-Bulk.

```
32
Lattice="-4.928 5.788 -4.212 1.847 -0.777 -12.195 -11.926 -1.563 2.839" Properties=species:S:1:pos:R:3 pbc="T T T"
Hg -7.837 4.149 -12.027
Hg -1.104 1.275 -9.925
Hg -3.524 1.360 -11.940
Hg -4.891 4.888 -5.492
Hg -5.804 -0.765 -6.935
Hg -5.756 4.007 -14.657
Hg -5.613 4.053 -9.798
Hg -11.593 1.980 -5.650
Hg -10.116 -1.439 -8.075
Hg -9.393 -0.604 -3.770
Hg -9.251 -0.558 1.089
Hg -11.483 2.088 -1.628
Hg -13.902 2.173 -3.643
Hg -9.059 2.487 -3.915
Hg -12.246 2.633 -12.660
Hg -3.413 1.468 -7.917
Hg -10.209 0.239 -10.919
Hg -9.203 4.214 -6.633
Hg -8.727 0.752 -6.689
Hg -2.760 0.816 -0.908
Hg -5.948 0.961 -9.652
Hg -4.798 3.209 -2.649
Hg -6.280 2.697 -6.879
Hg -7.170 -0.700 -1.541
Hg -11.175 -1.031 -1.312
Hg -6.313 0.819 -4.162
Hg -3.832 4.479 -12.256
Hg -8.694 2.630 -9.406
K -12.238 2.530 -9.103
K -2.769 0.918 -4.465
Ca -5.963 -0.781 1.420
Ca -8.427 2.113 -0.686
```

* SG: Imma (74)
* DOS(E_F): 10.130 states/eV/cell
* formation energy: -124 meV/atom

=====

# 5
The following is a PBE calculation of a relaxed Ho7Cd2Ir2 crystal, from Alexandria via LeMat-Bulk.

```
11
Lattice="6.723 -0.003 -0.735 0.003 7.094 0.003 -1.153 -0.002 6.664" Properties=species:S:1:pos:R:3 pbc="T T T"
Cd 0.985 3.546 1.048
Cd 4.588 3.543 4.883
Ho 0.000 0.000 0.000
Ho 2.789 5.370 2.965
Ho 2.213 5.325 6.297
Ho 6.145 1.761 2.600
Ho 2.784 1.719 2.967
Ho -0.572 5.328 3.332
Ho 3.360 1.763 -0.365
Ir 4.468 7.091 1.389
Ir 1.104 -0.002 4.543
```

* SG: Cmmm (65)
* DOS(E_F): 10.165 states/eV/cell
* formation energy: -410 meV/atom

=====

# 6
The following is a PBE calculation of a relaxed IrAu crystal, from Alexandria via LeMat-Bulk.

```
4
Lattice="-0.023 -1.442 2.421 0.299 -2.408 -1.432 8.180 0.716 0.505" Properties=species:S:1:pos:R:3 pbc="T T T"
Ir 3.382 -0.921 -0.516
Ir 4.936 -0.288 1.516
Au 7.211 -0.586 -0.280
Au 1.107 -0.623 1.279
```

* SG: P4/nmm (129)
* DOS(E_F): 3.040 states/eV/cell
* distance to the lowest polymorph of the same formula: 0.0000 eV/atom
* formation energy: 187 meV/atom

=====

# 7
The following is a PBE calculation of a relaxed Pm4CdGa2Ag crystal, from Alexandria via LeMat-Bulk.

```
8
Lattice="5.274 0.000 0.000 2.637 4.567 0.000 2.637 1.522 8.635" Properties=species:S:1:pos:R:3 pbc="T T T"
Ag 5.274 3.045 4.317
Pm 2.637 1.522 5.339
Pm 7.911 4.567 3.296
Pm 5.274 3.045 7.495
Pm 5.274 3.045 1.139
Cd 0.000 0.000 0.000
Ga 2.637 1.522 2.106
Ga 7.911 4.567 6.528
```

* SG: R-3m (166)
* DOS(E_F): 9.616 states/eV/cell
* formation energy: -424 meV/atom

=====

# 8
The following is a PBE calculation of a relaxed NdPaCSe crystal, from Alexandria via LeMat-Bulk.

```
8
Lattice="-2.709 -2.868 0.321 1.142 -3.781 0.254 -0.025 -1.133 14.084" Properties=species:S:1:pos:R:3 pbc="T T T"
Pa -0.993 -4.322 1.810
Pa -0.599 -3.461 12.849
Nd -1.264 -5.989 9.044
Nd -0.328 -1.794 5.615
Se -0.150 -1.405 10.601
Se -1.442 -6.378 4.057
C -0.490 -2.147 1.079
C -1.101 -5.635 13.579
```

* uncorrected formation energy: -0.879 eV per atom
* SG: R-3m (166)
* DOS(E_F): 4.913 states/eV/cell

=====

# 9
The following is a PBE calculation of a relaxed Pr6As5Br crystal, from Alexandria via LeMat-Bulk.

```
12
Lattice="-4.192 4.355 4.377 -3.096 -4.140 5.423 3.581 -0.942 6.501" Properties=species:S:1:pos:R:3 pbc="T T T"
As -3.525 -1.596 8.843
As 0.167 -1.692 3.979
As 0.317 -3.389 7.945
As -0.181 0.869 7.458
As -3.644 0.108 4.900
Pr -5.388 0.176 7.239
Pr -2.131 0.812 9.838
Pr -1.900 0.039 2.560
Pr -1.576 -1.538 6.462
Pr -1.583 -3.269 10.312
Pr -2.123 2.543 5.989
Br 0.000 0.000 0.000
```

* uncorrected formation energy: -1.526 eV per atom
* SG: C2/m (12)
* DOS(E_F): 2.855 states/eV/cell

=====

# 10
The following is a PBE calculation of a relaxed ScTlW3 crystal, from Alexandria via LeMat-Bulk.

```
5
Lattice="4.971 0.000 0.000 0.000 4.971 0.000 0.000 0.000 4.971" Properties=species:S:1:pos:R:3 pbc="T T T"
W 0.000 0.000 2.485
W 2.485 0.000 0.000
W 0.000 2.485 0.000
Tl 0.000 0.000 0.000
Sc 2.485 2.485 2.485
```

* SG: Pm-3m (221)
* DOS(E_F): 8.167 states/eV/cell
* distance to the lowest polymorph of the same formula: 0.3529 eV/atom
* formation energy: 2746 meV/atom

=====

# 11
The following is a PBE calculation of a relaxed KBe2PtSe crystal, from Alexandria via LeMat-Bulk.

```
5
Lattice="-2.631 -0.573 3.452 -1.192 -5.232 -1.776 3.375 -1.554 2.314" Properties=species:S:1:pos:R:3 pbc="T T T"
K -0.596 -2.616 -0.888
Se 0.000 0.000 0.000
Be -1.315 -0.286 1.726
Be 1.687 -0.777 1.157
Pt -0.224 -3.680 1.995
```

* uncorrected formation energy: 0.785 eV per atom
* SG: P4/mmm (123)
* DOS(E_F): 3.150 states/eV/cell

=====

# 12
The following is a PBE calculation of a relaxed NaPaGe2O7 crystal, from Alexandria via LeMat-Bulk.

```
11
Lattice="-0.413 2.608 -2.385 -2.610 -1.844 -1.564 -7.405 4.872 6.609" Properties=species:S:1:pos:R:3 pbc="T T T"
O -1.354 2.059 -0.169
O -6.120 3.414 2.138
O -7.562 3.196 4.803
O -4.307 2.221 0.521
O -2.452 -0.167 0.242
O -6.464 5.421 4.392
O -1.511 0.382 -1.975
Ge -3.180 1.479 -0.486
Ge -7.248 4.156 3.145
Pa 0.000 0.000 0.000
Na -3.702 2.436 3.304
```

* uncorrected formation energy: -2.005 eV per atom
* SG: P4/mmm (123)

=====

Number 1: total DFT energy (no corrections) -3.98 eV/atom. Number 2: total DFT energy (no corrections) -5.25 eV/atom. Number 3: total DFT energy (no corrections) -2.90 eV/atom. Number 4: total DFT energy (no corrections) -0.58 eV/atom. Number 5: total DFT energy (no corrections) -5.10 eV/atom. Number 6: total DFT energy (no corrections) -5.88 eV/atom. Number 7: total DFT energy (no corrections) -4.03 eV/atom. Number 8: total DFT energy (no corrections) -7.62 eV/atom. Number 9: total DFT energy (no corrections) -5.99 eV/atom. Number 10: total DFT energy (no corrections) -6.77 eV/atom. Number 11: total DFT energy (no corrections) -2.83 eV/atom. Number 12: total DFT energy (no corrections) -6.98 eV/atom.